Entry 1:
A relaxed structure of TbPa3As4. Source: the Alexandria database, functional PBE.

## Properties
space group	Cmmm, No. 65
DFT total energy	-7.633	eV/atom
M_tot	0.00	μB/f.u.
energy of formation from the pure elements	-1.169	eV per atom

Cell: 8.199 11.597 4.100 Å, 90.00 90.00 90.00°
Positions (direct):
Tb 0.000 0.000 0.000
Tb 0.500 0.500 0.000
Pa 0.000 0.500 0.000
Pa 0.250 0.250 0.500
Pa 0.250 0.750 0.500
Pa 0.500 0.000 0.000
Pa 0.750 0.250 0.500
Pa 0.750 0.750 0.500
As 0.000 0.250 0.000
As 0.000 0.750 0.000
As 0.249 0.500 0.500
As 0.251 0.000 0.500
As 0.500 0.250 0.000
As 0.500 0.750 0.000
As 0.749 0.000 0.500
As 0.751 0.500 0.500



Entry 2:
A relaxed structure of KLiN2. Source: the Alexandria database, functional PBE.

## Properties
space group	R-3m, No. 166
energy above the lowest structure with this stoichiometry	3.50	eV/f.u.
DFT total energy	-3.183	eV/atom
energy relative to the elements, uncorrected	1732	meV per atom
M_tot	0.08	μB/f.u.

Cell: 2.911 2.911 24.304 Å, 90.00 90.00 120.00°
Positions (direct):
K 0.000 0.000 0.000
K 0.333 0.667 0.667
K 0.667 0.333 0.333
Li 0.000 0.000 0.500
Li 0.333 0.667 0.167
Li 0.667 0.333 0.833
N 0.000 0.000 0.422
N 0.000 0.000 0.578
N 0.333 0.667 0.089
N 0.333 0.667 0.245
N 0.667 0.333 0.755
N 0.667 0.333 0.911



Entry 3:
A relaxed structure of LiMnFe2. Source: the Alexandria database, functional PBE.

## Properties
space group	P4mm, No. 99
energy above the lowest structure with this stoichiometry	0.33	eV/f.u.
DFT total energy	-6.715	eV/atom
M_tot	3.08	μB/f.u.
energy of formation from the pure elements	0.287	eV per atom

Cell: 2.479 2.479 7.828 Å, 90.00 90.00 90.00°
Positions (direct):
Li 0.000 0.000 0.000
Mn 0.500 0.500 0.283
Fe 0.000 0.000 0.506
Fe 0.500 0.500 0.729



Entry 4:
A relaxed structure of HgRuN3. Source: the Alexandria database, functional PBE.

## Properties
space group	Pm-3m, No. 221
DFT total energy	-5.472	eV/atom
energy relative to the elements, uncorrected	1438	meV per atom
M_tot	0.00	μB/f.u.

Cell: 3.928 3.928 3.928 Å, 90.00 90.00 90.00°
Positions (direct):
Hg 0.000 0.000 0.000
Ru 0.500 0.500 0.500
N 0.000 0.500 0.500
N 0.500 0.000 0.500
N 0.500 0.500 0.000



The highest DFT total energy belongs to which entry? KLiN2